A relaxed InSbAu crystal. Source: Alexandria via LeMat-Bulk, functional PBE.

a b c (Å): 7.5154 4.2456 10.2608
angles (deg): 90.00 108.45 90.00
Atoms (fractional coordinates):
In 0.0420 0.2500 0.3817
In 0.4353 0.7500 0.0956
In 0.5647 0.2500 0.9044
In 0.9580 0.7500 0.6183
Sb 0.0502 0.2500 0.8752
Sb 0.4521 0.7500 0.6073
Sb 0.5479 0.2500 0.3926
Sb 0.9498 0.7500 0.1248
Au 0.2210 0.2500 0.1726
Au 0.2327 0.2500 0.6697
Au 0.7673 0.7500 0.3303
Au 0.7790 0.7500 0.8274

## Properties
- Space-group type: No. 11
- Mass density: 9.272 g/cm3
- Formation energy without anion corrections: -0.092 eV/atom